# 1
Ac2SnBr: relaxed, PBE.

As for the energy relative to the elements, uncorrected: -379.4 kJ/mol of formula units.

The space group is Fm-3m (No. 225) and the conventional cell measures 8.095, 8.095 and 8.095 Å, with angles of 90.00, 90.00 and 90.00 degrees. Symmetry generates all atoms from Ac at (0.250, 0.250, 0.250), Sn at (0.000, 0.000, 0.000) and Br at (0.000, 0.000, 0.500).

***

# 2
AcSn2Br8: relaxed, PBE.

As for the energy relative to the elements, uncorrected: -1138.5 kJ/mol of formula units.

The space group is C2/m (No. 12) and the conventional cell measures 13.440, 9.026 and 8.558 Å, with angles of 90.00, 111.49 and 90.00 degrees. Symmetry generates all atoms from Ac at (0.000, 0.000, 0.000), Sn at (0.134, 0.000, 0.621), Br at (0.087, 0.222, 0.808), Br at (0.165, 0.500, 0.203) and Br at (0.195, 0.000, 0.323).

***

# 3
Ac2SnBr: relaxed, PBE.

As for the energy relative to the elements, uncorrected: -344.6 kJ/mol of formula units.

The space group is P4/mmm (No. 123) and the conventional cell measures 3.962, 3.962 and 8.483 Å, with angles of 90.00, 90.00 and 90.00 degrees. Symmetry generates all atoms from Ac at (0.000, 0.000, 0.237), Sn at (0.500, 0.500, 0.000) and Br at (0.500, 0.500, 0.500).

***

# 4
AcSnBr: relaxed, PBE.

As for the energy relative to the elements, uncorrected: -332.0 kJ/mol of formula units.

The space group is C2/m (No. 12) and the conventional cell measures 8.454, 4.916 and 11.196 Å, with angles of 90.00, 92.71 and 90.00 degrees. Symmetry generates all atoms from Ac at (0.011, 0.000, 0.197), Sn at (0.166, 0.500, 0.978) and Br at (0.186, 0.500, 0.347).

***

# 5
Ac3SnBr: relaxed, PBE.

As for the energy relative to the elements, uncorrected: -343.3 kJ/mol of formula units.

The space group is P2_1/c (No. 14) and the conventional cell measures 8.978, 6.954 and 12.760 Å, with angles of 90.00, 106.44 and 90.00 degrees. Symmetry generates all atoms from Ac at (0.071, 0.144, 0.203), Ac at (0.341, 0.168, 0.982), Ac at (0.388, 0.601, 0.190), Sn at (0.303, 0.649, 0.894) and Br at (0.030, 0.745, 0.570).

***

# 6
Ac2SnBr: relaxed, PBE.

As for the energy relative to the elements, uncorrected: -332.6 kJ/mol of formula units.

The space group is R-3m (No. 166, hexagonal axes) and the conventional cell measures 4.9241, 4.9241 and 28.6175 Å, with angles of 90.00, 90.00 and 120.00 degrees. Symmetry generates all atoms from Ac at (0.0000, 0.0000, 0.1076), Sn at (0.0000, 0.0000, 0.5000) and Br at (0.0000, 0.0000, 0.0000).

***

What is the energy relative to the elements, uncorrected in the sixth record? -332.6 kJ/mol of formula units

***

Look up the energy relative to the elements, uncorrected of the sixth one. -332.6 kJ/mol of formula units

***

What is the formula in the fifth record? Ac3SnBr